1.
## Sc3AlZn3 (PBE-GGA)

Data for a relaxed Sc3AlZn3 crystal. Values from VASP.

Results
total DFT energy (no corrections) = -4.154 eV per atom
crystal system = orthorhombic
total magnetization = 0.0 μB/f.u.
symmetry = Imm2

```
&SYSTEM
  ibrav = 0, nat = 7, ntyp = 3
/
ATOMIC_SPECIES
Sc 44.96 Sc.upf
Al 26.98 Al.upf
Zn 65.41 Zn.upf
ATOMIC_POSITIONS angstrom
Sc 0.0000 0.0000 0.0000
Sc 0.0000 0.0000 7.3613
Sc 0.0000 2.1755 3.6288
Al 1.6334 0.0000 4.9154
Zn 1.6334 0.0000 2.3846
Zn 0.0000 0.0000 10.2679
Zn 0.0000 0.0000 15.5701
CELL_PARAMETERS angstrom
-1.6334 2.1755 9.2515
1.6334 -2.1755 9.2515
1.6334 2.1755 -9.2515
```

---

2.
## LiLu2Co (PBE-GGA)

Data for a relaxed LiLu2Co crystal. Values from VASP.

Results
crystal system = trigonal
total magnetization = 0.0 μB/f.u.
symmetry = R-3m
ΔE to the lowest computed polymorph = 208 meV per atom

```
&SYSTEM
  ibrav = 0, nat = 4, ntyp = 3
/
ATOMIC_SPECIES
Li 6.94 Li.upf
Lu 174.97 Lu.upf
Co 58.93 Co.upf
ATOMIC_POSITIONS angstrom
Li 0.0000 0.0000 0.0000
Lu 0.0000 0.0000 3.2970
Lu 0.0000 0.0000 25.4733
Co 0.0000 0.0000 14.3852
CELL_PARAMETERS angstrom
1.8115 1.0459 9.5901
-1.8115 1.0459 9.5901
0.0000 -2.0917 9.5901
```

---

3.
## NdHo3S4 (PBE-GGA)

Data for a relaxed NdHo3S4 crystal. Values from VASP.

Results
uncorrected formation energy = -1.95 eV/atom
crystal system = cubic
total magnetization = 0.0 μB/f.u.
symmetry = Pm-3m
ΔE to the lowest computed polymorph = 27 meV per atom

```
&SYSTEM
  ibrav = 0, nat = 8, ntyp = 3
/
ATOMIC_SPECIES
Nd 144.24 Nd.upf
Ho 164.93 Ho.upf
S 32.06 S.upf
ATOMIC_POSITIONS angstrom
Nd 0.0000 0.0000 0.0000
Ho 0.0000 2.7831 2.7831
Ho 2.7831 0.0000 2.7831
Ho 2.7831 2.7831 0.0000
S 0.0000 0.0000 2.7831
S 0.0000 2.7831 0.0000
S 2.7831 0.0000 0.0000
S 2.7831 2.7831 2.7831
CELL_PARAMETERS angstrom
5.5662 0.0000 0.0000
0.0000 5.5662 0.0000
0.0000 0.0000 5.5662
```